Entry 1:
The following is a DFT calculation (GGA-PBE) of a geometry-optimized NaGe2Pd2 structure.

Output
Calculated total energy in Ha/atom: -0.1696

Cell and atoms, written as POSCAR:
```
NaGe2Pd2
1.0
-2.164 2.164 5.084
2.164 -2.164 5.084
2.164 2.164 -5.084
Na Ge Pd
1 2 2
Direct
0.000 0.000 0.000
0.624 0.624 0.000
0.376 0.376 0.000
0.750 0.250 0.500
0.250 0.750 0.500
```

Entry 2:
The following is a DFT calculation (GGA-PBE) of a geometry-optimized AcTlCd structure.

Output
Total magnetization in μB per cell: 0.0
Distance to the lowest polymorph of the same formula in eV per atom: 0.110
Calculated total energy in Ha/atom: -0.0991

Cell and atoms, written as POSCAR:
```
AcTlCd
1.0
0.000 3.716 3.716
3.716 0.000 3.716
3.716 3.716 0.000
Ac Cd Tl
1 1 1
Direct
0.250 0.250 0.250
0.750 0.750 0.750
0.000 0.000 0.000
```